{"formula": "GdMgZnPb", "functional": "PBE-GGA", "state": "optimized geometry", "lattice_angstrom": [[5.162, 0.000, 0.000], [2.581, 4.470, 0.000], [2.581, 1.490, 4.214]], "species": ["Pb", "Zn", "Gd", "Mg"], "frac_coords": [[0.750, 0.750, 0.750], [0.250, 0.250, 0.250], [0.000, 0.000, 0.000], [0.500, 0.500, 0.500]], "ef_kj_per_mol_fu": -90}

{"formula": "LiCuP3O9", "functional": "PBE-GGA", "state": "optimized geometry", "lattice_angstrom": [[-0.583, -4.695, -2.036], [10.344, 0.977, -5.214], [5.940, -5.409, 10.770]], "species": ["Li", "Li", "Li", "Li", "Cu", "Cu", "Cu", "Cu", "P", "P", "P", "P", "P", "P", "P", "P", "P", "P", "P", "P", "O", "O", "O", "O", "O", "O", "O", "O", "O", "O", "O", "O", "O", "O", "O", "O", "O", "O", "O", "O", "O", "O", "O", "O", "O", "O", "O", "O", "O", "O", "O", "O", "O", "O", "O", "O"], "frac_coords": [[0.073, 0.000, 0.250], [0.073, 0.500, 0.750], [0.927, 0.500, 0.250], [0.927, 0.000, 0.750], [0.000, 0.000, 0.000], [0.000, 0.500, 0.000], [0.000, 0.000, 0.500], [0.000, 0.500, 0.500], [0.265, 0.750, 0.000], [0.265, 0.750, 0.500], [0.458, 0.094, 0.642], [0.458, 0.094, 0.858], [0.458, 0.406, 0.142], [0.458, 0.406, 0.358], [0.542, 0.594, 0.642], [0.542, 0.906, 0.142], [0.542, 0.906, 0.358], [0.542, 0.594, 0.858], [0.735, 0.250, 0.000], [0.735, 0.250, 0.500], [0.115, 0.652, 0.044], [0.115, 0.652, 0.456], [0.115, 0.848, 0.544], [0.115, 0.848, 0.956], [0.175, 0.438, 0.125], [0.175, 0.062, 0.625], [0.175, 0.438, 0.375], [0.175, 0.062, 0.875], [0.338, 0.997, 0.135], [0.338, 0.997, 0.365], [0.338, 0.503, 0.635], [0.338, 0.503, 0.865], [0.534, 0.845, 0.250], [0.534, 0.655, 0.750], [0.473, 0.706, 0.580], [0.473, 0.794, 0.080], [0.473, 0.706, 0.920], [0.473, 0.794, 0.420], [0.527, 0.206, 0.580], [0.527, 0.294, 0.080], [0.527, 0.294, 0.420], [0.527, 0.206, 0.920], [0.466, 0.155, 0.750], [0.466, 0.345, 0.250], [0.662, 0.003, 0.635], [0.662, 0.497, 0.135], [0.662, 0.497, 0.365], [0.662, 0.003, 0.865], [0.825, 0.562, 0.625], [0.825, 0.938, 0.125], [0.825, 0.938, 0.375], [0.825, 0.562, 0.875], [0.885, 0.152, 0.456], [0.885, 0.348, 0.544], [0.885, 0.152, 0.044], [0.885, 0.348, 0.956]], "de_polymorph_kcal_per_mol_atoms": 0.811, "formation_energy_uncorrected_kj_per_mol_fu": -2585}

{"formula": "ErMgNi2Ge2", "functional": "PBE-GGA", "state": "optimized geometry", "lattice_angstrom": [[4.145, 0.000, 0.000], [-2.073, 3.590, 0.000], [0.000, 0.000, 6.612]], "species": ["Er", "Mg", "Ni", "Ni", "Ge", "Ge"], "frac_coords": [[0.000, 0.000, 0.000], [0.000, 0.000, 0.500], [0.333, 0.667, 0.685], [0.667, 0.333, 0.315], [0.333, 0.667, 0.276], [0.667, 0.333, 0.724]], "ef_kj_per_mol_fu": -339}

{"formula": "Si2WCl", "functional": "PBE-GGA", "state": "optimized geometry", "lattice_angstrom": [[2.802, 0.000, 0.000], [0.000, 4.639, 0.000], [0.000, 0.000, 4.712]], "species": ["Cl", "Si", "Si", "W"], "frac_coords": [[0.000, 0.500, 0.500], [0.000, 0.000, 0.000], [0.500, 0.500, 0.000], [0.500, 0.000, 0.500]], "de_polymorph_kcal_per_mol_atoms": 12.868, "formation_energy_uncorrected_kj_per_mol_fu": 305}

{"formula": "SiNiPb", "functional": "PBE-GGA", "state": "optimized geometry", "lattice_angstrom": [[-4.322, 1.228, 0.270], [-3.224, -2.771, -1.479], [-2.739, -2.036, 2.935]], "species": ["Ni", "Pb", "Si"], "frac_coords": [[0.500, 0.500, 0.500], [0.750, 0.750, 0.750], [0.000, 0.000, 0.000]], "de_polymorph_kcal_per_mol_atoms": 16.500, "formation_energy_uncorrected_kj_per_mol_fu": 232}

{"formula": "BaScMn3", "functional": "PBE-GGA", "state": "optimized geometry", "lattice_angstrom": [[5.176, 0.000, 0.000], [0.000, 5.176, 0.000], [0.000, 0.000, 5.176]], "species": ["Sc", "Mn", "Mn", "Mn", "Ba"], "frac_coords": [[0.500, 0.500, 0.500], [0.000, 0.500, 0.000], [0.000, 0.000, 0.500], [0.500, 0.000, 0.000], [0.000, 0.000, 0.000]], "de_polymorph_kcal_per_mol_atoms": 20.112, "ef_kj_per_mol_fu": 862}

| no. | energy (eV/atom) |
| --- | --- |
| 1 | -5.398 |
| 2 | -6.689 |
| 3 | -5.078 |
| 4 | -5.620 |
| 5 | -4.168 |
| 6 | -5.366 |